Density functional theory data (PBE-GGA) for a relaxed BaDy2Se4 crystal.

Summary:
The uncorrected energy is -5.561 eV/atom.

Unit cell a=12.794 b=4.205 c=15.181 alpha=90.00 beta=90.00 gamma=90.00
Sites, in units of the cell vectors:
1 Ba 0.741 0.750 0.164
2 Ba 0.241 0.750 0.336
3 Ba 0.759 0.250 0.664
4 Ba 0.259 0.250 0.836
5 Dy 0.422 0.250 0.100
6 Dy 0.066 0.750 0.109
7 Dy 0.566 0.750 0.391
8 Dy 0.922 0.250 0.400
9 Dy 0.078 0.750 0.600
10 Dy 0.434 0.250 0.609
11 Dy 0.934 0.250 0.891
12 Dy 0.578 0.750 0.900
13 Se 0.627 0.250 0.024
14 Se 0.916 0.250 0.077
15 Se 0.207 0.250 0.164
16 Se 0.477 0.750 0.217
17 Se 0.977 0.750 0.283
18 Se 0.707 0.250 0.336
19 Se 0.416 0.250 0.423
20 Se 0.127 0.250 0.476
21 Se 0.873 0.750 0.524
22 Se 0.584 0.750 0.577
23 Se 0.293 0.750 0.664
24 Se 0.023 0.250 0.717
25 Se 0.523 0.250 0.783
26 Se 0.793 0.750 0.836
27 Se 0.084 0.750 0.923
28 Se 0.373 0.750 0.976